Crystalline AlTlVCl6 at its relaxed geometry, computed with PBE.

Geometry as POSCAR:
```
AlTlVCl6
1.0
6.314 0.000 0.000
-3.157 5.469 0.000
0.000 0.000 14.448
Al Tl V Cl
2 2 2 12
direct
0.333 0.667 0.250
0.667 0.333 0.750
0.000 0.000 0.000
0.000 0.000 0.500
0.333 0.667 0.750
0.667 0.333 0.250
0.015 0.377 0.157
0.015 0.638 0.343
0.362 0.377 0.343
0.362 0.985 0.157
0.377 0.015 0.657
0.377 0.362 0.843
0.623 0.638 0.157
0.623 0.985 0.343
0.638 0.015 0.843
0.638 0.623 0.657
0.985 0.362 0.657
0.985 0.623 0.843
```

Summary:
E_form (uncorrected)	-1.289	eV/atom

=====

Crystalline ZrAgB at its relaxed geometry, computed with PBE.

Geometry as POSCAR:
```
ZrAgB
1.0
3.588 0.000 0.000
0.000 15.293 0.000
0.000 0.000 3.221
Zr Ag B
4 4 4
direct
0.000 0.087 0.250
0.000 0.913 0.750
0.500 0.413 0.750
0.500 0.587 0.250
0.000 0.298 0.250
0.000 0.702 0.750
0.500 0.202 0.750
0.500 0.798 0.250
0.000 0.473 0.250
0.000 0.527 0.750
0.500 0.027 0.750
0.500 0.973 0.250
```

Summary:
formation enthalpy at 0 K	-0.501	eV per atom
density of states at the Fermi level	0.8	states/eV/f.u.

=====

Crystalline Ta2AgP at its relaxed geometry, computed with PBE.

Geometry as POSCAR:
```
Ta2AgP
1.0
3.461 0.000 0.000
-1.731 2.997 0.000
0.000 0.000 20.852
Ta Ag P
6 3 3
direct
0.000 0.000 0.231
0.000 0.000 0.769
0.333 0.667 0.436
0.333 0.667 0.897
0.667 0.333 0.103
0.667 0.333 0.564
0.000 0.000 0.000
0.333 0.667 0.667
0.667 0.333 0.333
0.000 0.000 0.500
0.333 0.667 0.167
0.667 0.333 0.833
```

Summary:
formation enthalpy at 0 K	-0.016	eV per atom
density of states at the Fermi level	2.5	states/eV/f.u.

=====

Crystalline Li2MgAl2Au2 at its relaxed geometry, computed with PBE.

Geometry as POSCAR:
```
Li2MgAl2Au2
1.0
7.720 0.000 0.000
0.000 4.460 0.000
-2.581 0.000 6.817
Li Mg Al Au
4 2 4 4
direct
0.141 0.000 0.423
0.359 0.500 0.577
0.641 0.500 0.423
0.859 0.000 0.577
0.000 0.000 0.000
0.500 0.500 0.000
0.083 0.500 0.750
0.417 0.000 0.250
0.583 0.000 0.750
0.917 0.500 0.250
0.232 0.500 0.194
0.268 0.000 0.806
0.732 0.000 0.194
0.768 0.500 0.806
```

Summary:
formation enthalpy at 0 K	-0.499	eV per atom
density of states at the Fermi level	1.1	states/eV/f.u.

=====

Crystalline Nd8Ho2Al at its relaxed geometry, computed with PBE.

Geometry as POSCAR:
```
Nd8Ho2Al
1.0
8.895 -2.758 0.000
8.895 2.758 0.000
-3.119 0.000 7.461
Nd Ho Al
8 2 1
direct
0.014 0.014 0.267
0.177 0.177 0.719
0.340 0.340 0.588
0.393 0.393 0.077
0.607 0.607 0.923
0.660 0.660 0.412
0.823 0.823 0.281
0.986 0.986 0.733
0.192 0.192 0.156
0.808 0.808 0.844
0.500 0.500 0.500
```

Summary:
formation enthalpy at 0 K	0.033	eV per atom
density of states at the Fermi level	14.7	states/eV/f.u.

=====

Crystalline NiAgW2 at its relaxed geometry, computed with PBE.

Geometry as POSCAR:
```
NiAgW2
1.0
2.719 0.000 0.000
0.000 2.719 0.000
0.000 0.000 8.245
Ni Ag W
1 1 2
direct
0.000 0.000 0.000
0.500 0.500 0.755
0.000 0.000 0.481
0.500 0.500 0.208
```

Summary:
formation enthalpy at 0 K	0.281	eV per atom
density of states at the Fermi level	1.7	states/eV/f.u.

=====

Crystalline GdPuIn4 at its relaxed geometry, computed with PBE.

Geometry as POSCAR:
```
GdPuIn4
1.0
0.000 4.287 4.287
4.287 0.000 4.287
4.287 4.287 0.000
Gd Pu In
1 1 4
direct
0.000 0.000 0.000
0.250 0.250 0.250
0.125 0.625 0.625
0.625 0.125 0.625
0.625 0.625 0.125
0.625 0.625 0.625
```

Summary:
formation enthalpy at 0 K	-0.237	eV per atom
density of states at the Fermi level	20.5	states/eV/f.u.

=====

Crystalline ZrTcNi2 at its relaxed geometry, computed with PBE.

Geometry as POSCAR:
```
ZrTcNi2
1.0
3.781 0.000 0.000
0.000 3.781 0.000
0.000 0.000 17.707
Zr Tc Ni
4 4 8
direct
0.000 0.000 0.000
0.000 0.500 0.250
0.500 0.000 0.750
0.500 0.500 0.500
0.000 0.000 0.500
0.000 0.500 0.750
0.500 0.000 0.250
0.500 0.500 0.000
0.222 0.250 0.625
0.250 0.722 0.875
0.250 0.778 0.375
0.278 0.250 0.125
0.722 0.750 0.125
0.750 0.222 0.375
0.750 0.278 0.875
0.778 0.750 0.625
```

Summary:
formation enthalpy at 0 K	0.338	eV per atom
density of states at the Fermi level	4.8	states/eV/f.u.